Record 1
The following is a GGA-PBE calculation of a relaxed NdLuCo crystal, from Alexandria.

Its volume is 81 Å³/f.u. As for the spin magnetization: 0.0 μB per cell. The calculation puts the energy of formation at -0.417 kcal/mol of atoms.

The space group is P3m1 (No. 156) and the conventional cell measures 3.9129, 3.9129 and 6.1283 Å, with angles of 90.00, 90.00 and 120.00 degrees. The inequivalent atoms are Nd at (0.0000, 0.0000, 0.0000), Lu at (0.6667, 0.3333, 0.4667) and Co at (0.3333, 0.6667, 0.2465).



Record 2
The following is a GGA-PBE calculation of a relaxed CaSi2As crystal, from Alexandria.

Its volume is 81 Å³/f.u. As for the spin magnetization: 0.0 μB per cell. The energy relative to the elements, uncorrected comes out at 0.187 eV/atom.

The space group is F-43m (No. 216) and the conventional cell measures 6.8738, 6.8738 and 6.8738 Å, with angles of 90.00, 90.00 and 90.00 degrees. The inequivalent atoms are Ca at (0.0000, 0.0000, 0.0000), Si at (0.0000, 0.0000, 0.5000), Si at (0.2500, 0.2500, 0.2500) and As at (0.2500, 0.2500, 0.7500).



Record 3
The following is a GGA-PBE calculation of a relaxed Pu2WN4 crystal, from Alexandria.

Its volume is 103 Å³/f.u. As for the spin magnetization: 80.1 μB per cell. The energy relative to the elements, uncorrected comes out at -0.821 eV/atom.

The space group is Fd-3m (No. 227, origin choice 2) and the conventional cell measures 9.3735, 9.3735 and 9.3735 Å, with angles of 90.00, 90.00 and 90.00 degrees. The inequivalent atoms are Pu at (0.0000, 0.0000, 0.0000), W at (0.1250, 0.1250, 0.6250) and N at (0.0068, 0.0068, 0.7432).



Record 4
The following is a GGA-PBE calculation of a relaxed Y5Sc4Pt4 crystal, from Alexandria.

Its volume is 304 Å³/f.u. As for the spin magnetization: 0.7 μB per cell. The calculation puts the energy of formation at -20.141 kcal/mol of atoms.

The space group is I4/m (No. 87) and the conventional cell measures 11.5268, 11.5268 and 4.5770 Å, with angles of 90.00, 90.00 and 90.00 degrees. The inequivalent atoms are Y at (0.0000, 0.0000, 0.0000), Y at (0.1276, 0.8092, 0.5000), Sc at (0.0934, 0.3960, 0.5000) and Pt at (0.0786, 0.2564, 0.0000).



Record 5
The following is a GGA-PBE calculation of a relaxed Mn2As2Au crystal, from Alexandria.

Its volume is 80 Å³/f.u. As for the spin magnetization: 10.9 μB per cell. The calculation puts the energy of formation at 0.315 kcal/mol of atoms.

The space group is P4/mbm (No. 127) and the conventional cell measures 7.0550, 7.0550 and 3.2205 Å, with angles of 90.00, 90.00 and 90.00 degrees. The inequivalent atoms are Mn at (0.1335, 0.3665, 0.0000), As at (0.1555, 0.6555, 0.5000) and Au at (0.0000, 0.0000, 0.0000).



Record 6
The following is a GGA-PBE calculation of a relaxed PmAg4Sn crystal, from Alexandria.

Its volume is 129 Å³/f.u. As for the spin magnetization: 0.0 μB per cell. The calculation puts the energy of formation at -4.285 kcal/mol of atoms.

The space group is F-43m (No. 216) and the conventional cell measures 8.0156, 8.0156 and 8.0156 Å, with angles of 90.00, 90.00 and 90.00 degrees. The inequivalent atoms are Pm at (0.0000, 0.0000, 0.0000), Ag at (0.1252, 0.1252, 0.3748) and Sn at (0.2500, 0.2500, 0.7500).



Record 7
The following is a GGA-PBE calculation of a relaxed Tb2SmTe crystal, from Alexandria.

Its volume is 121 Å³/f.u. As for the spin magnetization: 0.0 μB per cell. The energy relative to the elements, uncorrected comes out at -0.667 eV/atom.

The space group is Cmcm (No. 63) and the conventional cell measures 3.9853, 12.1887 and 9.9504 Å, with angles of 90.00, 90.00 and 90.00 degrees. The inequivalent atoms are Tb at (0.0000, 0.1358, 0.0357), Sm at (0.0000, 0.4435, 0.2500) and Te at (0.0000, 0.2676, 0.7500).



Record 8
The following is a GGA-PBE calculation of a relaxed NdYSc2 crystal, from Alexandria.

Its volume is 115 Å³/f.u. As for the spin magnetization: 0.0 μB per cell. The calculation puts the energy of formation at 1.335 kcal/mol of atoms.

The space group is I4/mmm (No. 139) and the conventional cell measures 4.9963, 4.9963 and 9.2385 Å, with angles of 90.00, 90.00 and 90.00 degrees. The inequivalent atoms are Nd at (0.0000, 0.0000, 0.0000), Y at (0.0000, 0.0000, 0.5000) and Sc at (0.0000, 0.5000, 0.2500).



Record 9
The following is a GGA-PBE calculation of a relaxed TmNpSc2S4 crystal, from Alexandria.

Its volume is 153 Å³/f.u. As for the spin magnetization: 4.5 μB per cell. The energy relative to the elements, uncorrected comes out at -1.759 eV/atom.

The space group is P2/m (No. 10) and the conventional cell measures 6.5452, 3.7749 and 6.5723 Å, with angles of 90.00, 109.23 and 90.00 degrees. The inequivalent atoms are Tm at (0.0000, 0.0000, 0.0000), Np at (0.0000, 0.5000, 0.5000), Sc at (0.5000, 0.0000, 0.5000), Sc at (0.5000, 0.5000, 0.0000), S at (0.2628, 0.5000, 0.2505) and S at (0.2646, 0.0000, 0.7580).



Record 10
The following is a GGA-PBE calculation of a relaxed TmPuSi2 crystal, from Alexandria.

Its volume is 83 Å³/f.u. As for the spin magnetization: 23.0 μB per cell. The energy relative to the elements, uncorrected comes out at -0.366 eV/atom.

The space group is Fm-3m (No. 225) and the conventional cell measures 6.9267, 6.9267 and 6.9267 Å, with angles of 90.00, 90.00 and 90.00 degrees. The inequivalent atoms are Tm at (0.0000, 0.0000, 0.0000), Pu at (0.0000, 0.0000, 0.5000) and Si at (0.2500, 0.2500, 0.2500).



Record 11
The following is a GGA-PBE calculation of a relaxed CeAg6 crystal, from Alexandria.

Its volume is 201 Å³/f.u. As for the spin magnetization: 3.4 μB per cell. The calculation puts the energy of formation at 12.747 kcal/mol of atoms.

The space group is Im-3m (No. 229) and the conventional cell measures 7.3779, 7.3779 and 7.3779 Å, with angles of 90.00, 90.00 and 90.00 degrees. The inequivalent atoms are Ce at (0.0000, 0.0000, 0.0000) and Ag at (0.0000, 0.2500, 0.5000).



Record 12
The following is a GGA-PBE calculation of a relaxed Th4BiSb2Os crystal, from Alexandria.

Its volume is 252 Å³/f.u. As for the spin magnetization: 0.0 μB per cell. The energy relative to the elements, uncorrected comes out at -0.644 eV/atom.

The space group is P2/m (No. 10) and the conventional cell measures 7.7872, 4.3589 and 7.8395 Å, with angles of 90.00, 108.55 and 90.00 degrees. The inequivalent atoms are Th at (0.2135, 0.0000, 0.2098), Th at (0.2361, 0.5000, 0.7724), Bi at (0.0000, 0.0000, 0.5000), Sb at (0.5000, 0.0000, 0.0000), Sb at (0.5000, 0.5000, 0.5000) and Os at (0.0000, 0.5000, 0.0000).



Record 13
The following is a GGA-PBE calculation of a relaxed ScTa2Te crystal, from Alexandria.

Its volume is 80 Å³/f.u. As for the spin magnetization: 0.0 μB per cell. The energy relative to the elements, uncorrected comes out at -0.005 eV/atom.

The space group is C2/m (No. 12) and the conventional cell measures 10.1895, 3.4052 and 4.7650 Å, with angles of 90.00, 103.47 and 90.00 degrees. The inequivalent atoms are Sc at (0.0000, 0.0000, 0.0000), Ta at (0.2437, 0.0000, 0.7396) and Te at (0.0000, 0.5000, 0.5000).



Record 14
The following is a GGA-PBE calculation of a relaxed BaAs2Cl crystal, from Alexandria.

Its volume is 108 Å³/f.u. As for the spin magnetization: 0.0 μB per cell. The energy relative to the elements, uncorrected comes out at 0.317 eV/atom.

The space group is R-3m (No. 166, hexagonal axes) and the conventional cell measures 3.6263, 3.6263 and 28.4653 Å, with angles of 90.00, 90.00 and 120.00 degrees. The inequivalent atoms are Ba at (0.0000, 0.0000, 0.0000), As at (0.0000, 0.0000, 0.2400) and Cl at (0.0000, 0.0000, 0.5000).



Record 15
The following is a GGA-PBE calculation of a relaxed TaAgBr2 crystal, from Alexandria.

Its volume is 87 Å³/f.u. As for the spin magnetization: 0.8 μB per cell. The energy relative to the elements, uncorrected comes out at 0.638 eV/atom.

The space group is Pmmm (No. 47) and the conventional cell measures 3.1937, 4.5404 and 5.9829 Å, with angles of 90.00, 90.00 and 90.00 degrees. The inequivalent atoms are Ta at (0.0000, 0.0000, 0.0000), Ag at (0.5000, 0.0000, 0.5000), Br at (0.0000, 0.5000, 0.5000) and Br at (0.5000, 0.5000, 0.0000).



Record 16
The following is a GGA-PBE calculation of a relaxed LaCrCdMo2 crystal, from Alexandria.

Its volume is 133 Å³/f.u. As for the spin magnetization: 2.5 μB per cell. The calculation puts the energy of formation at 49.053 kcal/mol of atoms.

The space group is P4/mmm (No. 123) and the conventional cell measures 4.8322, 4.8322 and 5.7082 Å, with angles of 90.00, 90.00 and 90.00 degrees. The inequivalent atoms are La at (0.0000, 0.0000, 0.0000), Cr at (0.5000, 0.5000, 0.5000), Cd at (0.0000, 0.0000, 0.5000) and Mo at (0.0000, 0.5000, 0.0000).



Record 17
The following is a GGA-PBE calculation of a relaxed Rb6ReF12 crystal, from Alexandria.

Its volume is 495 Å³/f.u. As for the spin magnetization: 7.1 μB per cell. The energy relative to the elements, uncorrected comes out at -2.425 eV/atom.

The space group is R-3 (No. 148, hexagonal axes) and the conventional cell measures 12.2640, 12.2640 and 11.3930 Å, with angles of 90.00, 90.00 and 120.00 degrees. The inequivalent atoms are Rb at (0.0152, 0.7864, 0.1324), Re at (0.0000, 0.0000, 0.5000), F at (0.0103, 0.7875, 0.8905) and F at (0.0136, 0.8807, 0.4043).



Record 18
The following is a GGA-PBE calculation of a relaxed HoPaNiIr crystal, from Alexandria.

Its volume is 80 Å³/f.u. As for the spin magnetization: 0.0 μB per cell. The calculation puts the energy of formation at -11.799 kcal/mol of atoms.

The space group is F-43m (No. 216) and the conventional cell measures 6.8291, 6.8291 and 6.8291 Å, with angles of 90.00, 90.00 and 90.00 degrees. The inequivalent atoms are Ho at (0.0000, 0.0000, 0.0000), Pa at (0.0000, 0.0000, 0.5000), Ni at (0.2500, 0.2500, 0.2500) and Ir at (0.2500, 0.2500, 0.7500).



Record 19
The following is a GGA-PBE calculation of a relaxed CuSn2Au crystal, from Alexandria.

Its volume is 84 Å³/f.u. As for the spin magnetization: 0.0 μB per cell. The calculation puts the energy of formation at 2.143 kcal/mol of atoms.

The space group is P4/mmm (No. 123) and the conventional cell measures 4.6770, 4.6770 and 3.8255 Å, with angles of 90.00, 90.00 and 90.00 degrees. The inequivalent atoms are Cu at (0.0000, 0.0000, 0.0000), Sn at (0.0000, 0.5000, 0.5000) and Au at (0.5000, 0.5000, 0.0000).



Record 20
The following is a GGA-PBE calculation of a relaxed Ac2TbAgO6 crystal, from Alexandria.

Its volume is 176 Å³/f.u. As for the spin magnetization: 0.3 μB per cell. The energy relative to the elements, uncorrected comes out at -2.367 eV/atom.

The space group is P4mm (No. 99) and the conventional cell measures 5.6202, 5.6202 and 5.5753 Å, with angles of 90.00, 90.00 and 90.00 degrees. The inequivalent atoms are Ac at (0.0000, 0.5000, 0.0000), Tb at (0.0000, 0.0000, 0.5407), Ag at (0.5000, 0.5000, 0.6503), O at (0.0000, 0.0000, 0.1520), O at (0.2470, 0.2470, 0.7176) and O at (0.5000, 0.5000, 0.1433).